{"formula": "ZrSbPdPb2", "functional": "GGA-PBE", "state": "optimized geometry", "total_magnetization_mub_per_fu": 0.2, "raw_formation_energy_mev_per_atom": 288, "e_tot_ev_per_atom": -4.7682, "lattice_angstrom": [[-5.0815, 0.5777, 1.2066], [-0.5945, -5.5687, 0.1625], [1.2160, 0.0193, 5.1119]], "species": ["Pb", "Pb", "Sb", "Zr", "Pd"], "frac_coords": [[0.0000, 0.0000, 0.5000], [0.5000, 0.0000, 0.0000], [0.5000, 0.5000, 0.5000], [0.0000, 0.5000, 0.0000], [0.0000, 0.0000, 0.0000]]}

***

{"formula": "PaTi2WC4", "functional": "GGA-PBE", "state": "optimized geometry", "total_magnetization_mub_per_fu": 0.0, "formation_energy_mev_per_atom": -273, "e_tot_ev_per_atom": -9.6651, "lattice_angstrom": [[3.2249, 0.0000, 0.0000], [-1.6125, 5.7013, 0.0000], [0.0000, 0.0000, 11.0424]], "species": ["Pa", "Pa", "Ti", "Ti", "Ti", "Ti", "W", "W", "C", "C", "C", "C", "C", "C", "C", "C"], "frac_coords": [[0.1185, 0.2371, 0.7500], [0.8815, 0.7629, 0.2500], [0.3720, 0.7440, 0.5339], [0.6280, 0.2560, 0.0339], [0.6280, 0.2560, 0.4661], [0.3720, 0.7440, 0.9661], [0.8522, 0.7044, 0.7500], [0.1478, 0.2956, 0.2500], [0.2606, 0.5211, 0.1129], [0.7394, 0.4789, 0.6129], [0.7394, 0.4789, 0.8871], [0.2606, 0.5211, 0.3871], [0.0000, 0.0000, 0.5000], [0.0000, 0.0000, 0.0000], [0.4605, 0.9209, 0.7500], [0.5395, 0.0791, 0.2500]]}

***

{"formula": "Rb3Tm3RhO8", "functional": "GGA-PBE", "state": "optimized geometry", "total_magnetization_mub_per_fu": 1.1, "raw_formation_energy_mev_per_atom": -2346, "e_tot_ev_per_atom": -6.5678, "lattice_angstrom": [[-3.9763, -3.5764, 4.0350], [5.9470, 2.1556, 2.2084], [-5.4466, 5.2959, -0.6718]], "species": ["Rb", "Rb", "Rb", "Tm", "Tm", "Tm", "Rh", "O", "O", "O", "O", "O", "O", "O", "O"], "frac_coords": [[0.0000, 0.0000, 0.0000], [0.0000, 0.5000, 0.0000], [0.5000, 0.5000, 0.0000], [0.5000, 0.0000, 0.5000], [0.5000, 0.5000, 0.5000], [0.0000, 0.5000, 0.5000], [0.0000, 0.0000, 0.5000], [0.2768, 0.5537, 0.3306], [0.7232, 0.4463, 0.6694], [0.7888, 0.5777, 0.3353], [0.2112, 0.4223, 0.6647], [0.7889, 0.0464, 0.3353], [0.2111, 0.9536, 0.6647], [0.2575, 0.0464, 0.3353], [0.7425, 0.9536, 0.6647]]}

***

{"formula": "Pm8Tl2Co", "functional": "GGA-PBE", "state": "optimized geometry", "total_magnetization_mub_per_fu": 0.0, "formation_energy_mev_per_atom": -124, "e_tot_ev_per_atom": -4.6551, "de_polymorph_ev_per_atom": 0.020, "lattice_angstrom": [[-3.9301, -0.1941, 3.6501], [4.3341, -2.8393, 4.5156], [2.0675, 9.5974, -1.2094]], "species": ["Pm", "Pm", "Pm", "Pm", "Pm", "Pm", "Pm", "Pm", "Tl", "Tl", "Co"], "frac_coords": [[0.4123, 0.5716, 0.8247], [0.6448, 0.9690, 0.2897], [0.7912, 0.6961, 0.5824], [0.9870, 0.2117, 0.9741], [0.2088, 0.3039, 0.4176], [0.3552, 0.0310, 0.7103], [0.5877, 0.4284, 0.1753], [0.0130, 0.7883, 0.0259], [0.8258, 0.2735, 0.6515], [0.1742, 0.7265, 0.3485], [0.5000, 0.0000, 0.0000]]}

***

{"formula": "La4InGaHg2", "functional": "GGA-PBE", "state": "optimized geometry", "total_magnetization_mub_per_fu": 0.5, "formation_energy_mev_per_atom": -513, "e_tot_ev_per_atom": -3.7726, "lattice_angstrom": [[5.5092, 0.0000, 0.0000], [2.7546, 4.7711, 0.0000], [2.7546, 1.5904, 8.9933]], "species": ["La", "La", "La", "La", "In", "Ga", "Hg", "Hg"], "frac_coords": [[0.3811, 0.3811, 0.8566], [0.8687, 0.8687, 0.3940], [0.1313, 0.1313, 0.6060], [0.6189, 0.6189, 0.1434], [0.0000, 0.0000, 0.0000], [0.5000, 0.5000, 0.5000], [0.7427, 0.7427, 0.7720], [0.2573, 0.2573, 0.2280]]}

***

{"formula": "Th2Al4ZnAu3", "functional": "GGA-PBE", "state": "optimized geometry", "total_magnetization_mub_per_fu": 0.0, "formation_energy_mev_per_atom": -645, "e_tot_ev_per_atom": -4.7361, "lattice_angstrom": [[4.3857, 0.0000, 0.0000], [0.0000, 4.3857, 0.0000], [0.0000, 0.0000, 10.4957]], "species": ["Th", "Th", "Al", "Al", "Al", "Al", "Zn", "Au", "Au", "Au"], "frac_coords": [[0.5000, 0.0000, 0.2541], [0.0000, 0.5000, 0.7459], [0.5000, 0.5000, 0.0000], [0.0000, 0.0000, 0.0000], [0.5000, 0.0000, 0.6304], [0.0000, 0.5000, 0.3696], [0.5000, 0.5000, 0.5000], [0.0000, 0.0000, 0.5000], [0.5000, 0.0000, 0.8691], [0.0000, 0.5000, 0.1309]]}